A plane-wave DFT calculation with SCAN was carried out for Er2Mo4O15 at its PBEsol-relaxed geometry.

a b c (Å): 6.707 9.519 10.512
angles (deg): 90.00 105.08 90.00
Atoms (fractional coordinates):
Er 0.289 0.523 0.225
Er 0.711 0.477 0.775
Er 0.711 0.023 0.275
Er 0.289 0.977 0.725
Mo 0.581 0.744 0.011
Mo 0.419 0.256 0.989
Mo 0.419 0.244 0.489
Mo 0.581 0.756 0.511
Mo 0.117 0.904 0.157
Mo 0.883 0.096 0.843
Mo 0.883 0.404 0.343
Mo 0.117 0.596 0.657
O 0.114 0.721 0.150
O 0.886 0.279 0.850
O 0.886 0.221 0.350
O 0.114 0.779 0.650
O 0.475 0.627 0.103
O 0.525 0.373 0.897
O 0.525 0.127 0.397
O 0.475 0.873 0.603
O 0.282 0.348 0.084
O 0.718 0.652 0.916
O 0.718 0.848 0.416
O 0.282 0.152 0.584
O 0.000 0.000 0.000
O 0.000 0.500 0.500
O 0.380 0.664 0.401
O 0.620 0.336 0.599
O 0.620 0.164 0.099
O 0.380 0.836 0.901
O 0.051 0.972 0.295
O 0.949 0.028 0.705
O 0.949 0.472 0.205
O 0.051 0.528 0.795
O 0.378 0.945 0.183
O 0.622 0.055 0.817
O 0.622 0.445 0.317
O 0.378 0.555 0.683
O 0.749 0.865 0.118
O 0.251 0.135 0.882
O 0.251 0.365 0.382
O 0.749 0.635 0.618

Space-group type ... P2_1/c, No. 14
Formation energy (no corrections) ... -2628.1 meV/atom
Size of the total moment ... 0.00 μB per cell


A plane-wave DFT calculation with SCAN was carried out for AgRuAu2 at its PBEsol-relaxed geometry.

a b c (Å): 2.710 4.847 5.104
angles (deg): 98.29 90.00 106.23
Atoms (fractional coordinates):
Ag 0.500 0.000 0.000
Au 0.745 0.490 0.745
Au 0.255 0.510 0.255
Ru 0.000 0.000 0.500

Space-group type ... C2/m, No. 12
Size of the total moment ... 0.00 μB per cell
Formation energy from the elements ... 356 meV per atom


A plane-wave DFT calculation with SCAN was carried out for AgPt2 at its PBEsol-relaxed geometry.

a b c (Å): 2.755 7.867 8.493
angles (deg): 90.00 90.00 90.00
Atoms (fractional coordinates):
Ag 0.250 0.626 0.420
Ag 0.750 0.374 0.580
Ag 0.750 0.874 0.920
Ag 0.250 0.126 0.080
Pt 0.250 0.131 0.752
Pt 0.250 0.618 0.088
Pt 0.750 0.369 0.252
Pt 0.250 0.118 0.412
Pt 0.750 0.882 0.588
Pt 0.250 0.631 0.748
Pt 0.750 0.382 0.912
Pt 0.750 0.869 0.248

Space-group type ... Pnma, No. 62
Size of the total moment ... 0.00 μB per cell
Formation energy from the elements ... 9 meV per atom


A plane-wave DFT calculation with SCAN was carried out for Os2RuBr at its PBEsol-relaxed geometry.

a b c (Å): 4.074 4.574 4.074
angles (deg): 63.56 90.00 116.44
Atoms (fractional coordinates):
Br 0.750 0.500 0.750
Os 0.000 0.000 0.000
Os 0.250 0.500 0.250
Ru 0.500 0.000 0.500

Space-group type ... I-4m2, No. 119
Formation energy (no corrections) ... 1419.0 meV/atom
Size of the total moment ... 0.00 μB per cell


A plane-wave DFT calculation with SCAN was carried out for W2NCl8 at its PBEsol-relaxed geometry.

a b c (Å): 6.481 6.533 6.931
angles (deg): 89.91 82.38 83.79
Site moments in Bohr magnetons follow the coordinates.
Atoms (fractional coordinates):
W 0.053 0.592 0.234  0.44
W 0.947 0.408 0.766  0.44
N 0.000 0.500 0.000  -0.09
Cl 0.638 0.611 0.771  -0.01
Cl 0.892 0.313 0.411  0.01
Cl 0.264 0.218 0.695  -0.01
Cl 0.785 0.129 0.869  0.05
Cl 0.215 0.871 0.131  0.05
Cl 0.362 0.389 0.229  -0.01
Cl 0.108 0.687 0.589  0.01
Cl 0.736 0.782 0.305  -0.01

Space-group type ... P-1, No. 2
Formation energy (no corrections) ... -907.9 meV/atom
Size of the total moment ... 1.00 μB per cell


A plane-wave DFT calculation with SCAN was carried out for Na3NbP at its PBEsol-relaxed geometry.

a b c (Å): 5.596 5.596 5.596
angles (deg): 90.00 90.00 90.00
Site moments in Bohr magnetons follow the coordinates.
Atoms (fractional coordinates):
P 0.500 0.500 0.500  -0.44
Nb 0.000 0.000 0.000  3.43
Na 0.000 0.500 0.000  0.08
Na 0.000 0.000 0.500  0.08
Na 0.500 0.000 0.000  0.08

Space-group type ... Pm-3m, No. 221
Size of the total moment ... 4.86 μB per cell
Formation energy from the elements ... 1439 meV per atom


A plane-wave DFT calculation with SCAN was carried out for SbSeCl2 at its PBEsol-relaxed geometry.

a b c (Å): 4.862 4.862 4.862
angles (deg): 60.00 60.00 60.00
Atoms (fractional coordinates):
Sb 0.500 0.500 0.500
Se 0.250 0.250 0.250
Cl 0.000 0.000 0.000
Cl 0.750 0.750 0.750

Space-group type ... F-43m, No. 216
Formation energy (no corrections) ... -77.3 meV/atom
Size of the total moment ... 0.00 μB per cell


A plane-wave DFT calculation with SCAN was carried out for Li2CrBr at its PBEsol-relaxed geometry.

a b c (Å): 3.553 4.569 4.588
angles (deg): 90.00 90.00 90.00
Site moments in Bohr magnetons follow the coordinates.
Atoms (fractional coordinates):
Br 0.500 0.500 0.000  0.04
Cr 0.500 0.000 0.500  4.25
Li 0.000 0.000 0.000  0.01
Li 0.000 0.500 0.500  0.01

Space-group type ... Pmmm, No. 47
Formation energy (no corrections) ... -233.9 meV/atom
Size of the total moment ... 5.02 μB per cell


A plane-wave DFT calculation with SCAN was carried out for CuRuRh2 at its PBEsol-relaxed geometry.

a b c (Å): 2.654 2.654 8.698
angles (deg): 81.23 81.23 60.00
Atoms (fractional coordinates):
Ru 0.500 0.500 0.499
Rh 0.998 0.998 0.005
Rh 0.751 0.751 0.746
Cu 0.250 0.250 0.251

Space-group type ... R3m, No. 160
Size of the total moment ... 0.00 μB per cell
Formation energy from the elements ... 94 meV per atom


A plane-wave DFT calculation with SCAN was carried out for MnCr2Ni at its PBEsol-relaxed geometry.

a b c (Å): 2.388 2.388 7.817
angles (deg): 90.00 90.00 106.06
Atoms (fractional coordinates):
Cr 0.000 0.000 0.003
Cr 0.500 0.500 0.747
Mn 0.000 0.000 0.499
Ni 0.500 0.500 0.251

Space-group type ... Cmm2, No. 35
Size of the total moment ... 0.00 μB per cell
Formation energy from the elements ... 118 meV per atom


A plane-wave DFT calculation with SCAN was carried out for Cd2PbW at its PBEsol-relaxed geometry.

a b c (Å): 4.152 4.152 5.423
angles (deg): 112.51 112.51 90.00
Atoms (fractional coordinates):
Cd 0.000 0.000 0.000
Cd 0.750 0.250 0.500
Pb 0.500 0.500 0.000
W 0.250 0.750 0.500

Space-group type ... I-4m2, No. 119
Size of the total moment ... 0.00 μB per cell
Formation energy from the elements ... 793 meV per atom


A plane-wave DFT calculation with SCAN was carried out for IrRhAu at its PBEsol-relaxed geometry.

a b c (Å): 2.767 3.831 4.799
angles (deg): 113.52 106.75 90.00
Atoms (fractional coordinates):
Au 0.000 0.000 0.000
Ir 0.674 0.674 0.347
Rh 0.327 0.327 0.653

Space-group type ... Imm2, No. 44
Size of the total moment ... 0.00 μB per cell
Formation energy from the elements ... 285 meV per atom


A plane-wave DFT calculation with SCAN was carried out for SrCa2 at its PBEsol-relaxed geometry.

a b c (Å): 3.977 5.569 6.864
angles (deg): 113.93 106.84 90.00
Atoms (fractional coordinates):
Sr 0.000 0.000 0.000
Ca 0.670 0.670 0.340
Ca 0.330 0.330 0.660

Space-group type ... Immm, No. 71
Size of the total moment ... 0.42 μB per cell
Formation energy from the elements ... 18 meV per atom


A plane-wave DFT calculation with SCAN was carried out for CoSe2 at its PBEsol-relaxed geometry.

a b c (Å): 2.782 2.987 6.334
angles (deg): 103.64 102.69 90.00
Site moments in Bohr magnetons follow the coordinates.
Atoms (fractional coordinates):
Co 0.000 0.000 0.000  1.17
Se 0.375 0.375 0.750  -0.09
Se 0.625 0.625 0.250  -0.09

Space-group type ... Immm, No. 71
Formation energy (no corrections) ... 216.7 meV/atom
Size of the total moment ... 0.96 μB per cell


A plane-wave DFT calculation with SCAN was carried out for Ce3Sn6Ru at its PBEsol-relaxed geometry.

a b c (Å): 4.556 8.617 13.110
angles (deg): 90.00 90.00 105.33
Site moments in Bohr magnetons follow the coordinates.
Atoms (fractional coordinates):
Ce 0.397 0.794 0.250  0.76
Ce 0.603 0.206 0.750  0.76
Ce 0.603 0.206 0.098  0.81
Ce 0.397 0.794 0.902  0.81
Ce 0.603 0.206 0.402  0.81
Ce 0.397 0.794 0.598  0.81
Sn 0.073 0.146 0.574  0.00
Sn 0.927 0.854 0.426  0.00
Sn 0.073 0.146 0.926  0.00
Sn 0.927 0.854 0.074  0.00
Sn 0.037 0.073 0.250  -0.01
Sn 0.963 0.927 0.750  -0.01
Sn 0.259 0.519 0.069  0.01
Sn 0.741 0.481 0.931  0.01
Sn 0.259 0.519 0.431  0.01
Sn 0.741 0.481 0.569  0.01
Sn 0.769 0.538 0.250  0.00
Sn 0.231 0.462 0.750  0.00
Ru 0.193 0.386 0.250  -0.11
Ru 0.807 0.614 0.750  -0.11

Space-group type ... Cmcm, No. 63
Size of the total moment ... 5.29 μB per cell
Formation energy from the elements ... -641 meV per atom


A plane-wave DFT calculation with SCAN was carried out for ZrPW2 at its PBEsol-relaxed geometry.

a b c (Å): 3.321 3.321 5.794
angles (deg): 90.00 90.00 90.00
Atoms (fractional coordinates):
P 0.500 0.500 0.500
W 0.000 0.000 0.720
W 0.000 0.000 0.280
Zr 0.500 0.500 0.000

Space-group type ... P4/mmm, No. 123
Size of the total moment ... 0.00 μB per cell
Formation energy from the elements ... 138 meV per atom


A plane-wave DFT calculation with SCAN was carried out for PuO2 at its PBEsol-relaxed geometry.

a b c (Å): 3.752 3.752 3.752
angles (deg): 60.00 60.00 60.00
Site moments in Bohr magnetons follow the coordinates.
Atoms (fractional coordinates):
O 0.250 0.250 0.250  -0.07
O 0.750 0.750 0.750  -0.07
Pu 0.000 0.000 0.000  4.08

Space-group type ... Fm-3m, No. 225
Formation energy (no corrections) ... -3323.0 meV/atom
Size of the total moment ... 4.00 μB per cell


A plane-wave DFT calculation with SCAN was carried out for Cs2KYCl6 at its PBEsol-relaxed geometry.

a b c (Å): 7.832 7.832 7.832
angles (deg): 60.00 60.00 60.00
Atoms (fractional coordinates):
Cs 0.750 0.750 0.750
Cs 0.250 0.250 0.250
Y 0.000 0.000 0.000
K 0.500 0.500 0.500
Cl 0.765 0.235 0.235
Cl 0.235 0.765 0.235
Cl 0.235 0.235 0.765
Cl 0.765 0.235 0.765
Cl 0.765 0.765 0.235
Cl 0.235 0.765 0.765

Space-group type ... Fm-3m, No. 225
Formation energy (no corrections) ... -2420.8 meV/atom
Size of the total moment ... 0.00 μB per cell


A plane-wave DFT calculation with SCAN was carried out for In3PbW at its PBEsol-relaxed geometry.

a b c (Å): 5.237 5.237 5.237
angles (deg): 90.00 90.00 90.00
Atoms (fractional coordinates):
Pb 0.500 0.500 0.500
W 0.000 0.000 0.000
In 0.000 0.500 0.000
In 0.000 0.000 0.500
In 0.500 0.000 0.000

Space-group type ... Pm-3m, No. 221
Size of the total moment ... 0.00 μB per cell
Formation energy from the elements ... 673 meV per atom


A plane-wave DFT calculation with SCAN was carried out for ScCu3 at its PBEsol-relaxed geometry.

a b c (Å): 4.257 4.257 4.257
angles (deg): 60.00 60.00 60.00
Atoms (fractional coordinates):
Sc 0.000 0.000 0.000
Cu 0.250 0.250 0.250
Cu 0.500 0.500 0.500
Cu 0.750 0.750 0.750

Space-group type ... Fm-3m, No. 225
Size of the total moment ... 0.00 μB per cell
Formation energy from the elements ... -170 meV per atom


A plane-wave DFT calculation with SCAN was carried out for OsAuSe2 at its PBEsol-relaxed geometry.

a b c (Å): 2.962 4.618 4.862
angles (deg): 90.00 90.00 90.00
Atoms (fractional coordinates):
Au 0.500 0.500 0.000
Os 0.000 0.500 0.500
Se 0.000 0.000 0.000
Se 0.500 0.000 0.500

Space-group type ... Pmmm, No. 47
Formation energy (no corrections) ... 1041.0 meV/atom
Size of the total moment ... 0.00 μB per cell


A plane-wave DFT calculation with SCAN was carried out for Ba2SrCa at its PBEsol-relaxed geometry.

a b c (Å): 4.058 6.576 7.831
angles (deg): 90.00 100.99 90.00
Atoms (fractional coordinates):
Sr 0.000 0.500 0.500
Ca 0.500 0.500 0.000
Ba 0.747 0.000 0.755
Ba 0.253 0.000 0.245

Space-group type ... P2/m, No. 10
Size of the total moment ... 0.08 μB per cell
Formation energy from the elements ... 34 meV per atom


A plane-wave DFT calculation with SCAN was carried out for BaHf2Sn2 at its PBEsol-relaxed geometry.

a b c (Å): 5.407 5.407 6.382
angles (deg): 115.06 115.06 90.00
Site moments in Bohr magnetons follow the coordinates.
Atoms (fractional coordinates):
Hf 0.342 0.342 0.684  0.14
Hf 0.658 0.658 0.316  0.14
Ba 0.000 0.000 0.000  0.05
Sn 0.250 0.750 0.500  -0.01
Sn 0.750 0.250 0.500  -0.01

Space-group type ... I4/mmm, No. 139
Size of the total moment ... 0.68 μB per cell
Formation energy from the elements ... -23 meV per atom


A plane-wave DFT calculation with SCAN was carried out for EuMg5 at its PBEsol-relaxed geometry.

a b c (Å): 4.993 6.039 6.039
angles (deg): 120.00 90.00 90.00
Site moments in Bohr magnetons follow the coordinates.
Atoms (fractional coordinates):
Eu 0.500 0.000 0.000  6.96
Mg 0.000 0.000 0.485  0.01
Mg 0.500 0.333 0.667  0.00
Mg 0.000 0.515 0.515  0.01
Mg 0.500 0.667 0.333  0.00
Mg 0.000 0.485 0.000  0.01

Space-group type ... P-62m, No. 189
Size of the total moment ... 7.66 μB per cell
Formation energy from the elements ... -45 meV per atom


A plane-wave DFT calculation with SCAN was carried out for LaTcP2 at its PBEsol-relaxed geometry.

a b c (Å): 4.618 4.618 4.618
angles (deg): 60.00 60.00 60.00
Atoms (fractional coordinates):
La 0.500 0.500 0.500
P 0.000 0.000 0.000
P 0.750 0.750 0.750
Tc 0.250 0.250 0.250

Space-group type ... F-43m, No. 216
Size of the total moment ... 0.00 μB per cell
Formation energy from the elements ... 273 meV per atom